No. 1
# La8AgGe2 (PBE-GGA, relaxed)
# - SG: Cm, No. 8
# - Final energy: -4.997 eV/atom
# - Calculated formation energy: -0.31 eV per atom
data_La8AgGe2
_cell_length_a 5.9220
_cell_length_b 8.4115
_cell_length_c 8.4115
_cell_angle_alpha 116.40
_cell_angle_beta 102.43
_cell_angle_gamma 102.43
_space_group_name_H-M_alt 'P 1'
_space_group_IT_number 1
loop_
_space_group_symop_operation_xyz
'x,y,z'
loop_
_atom_site_label
_atom_site_type_symbol
_atom_site_fract_x
_atom_site_fract_y
_atom_site_fract_z
_atom_site_occupancy
Ge1 Ge 0.5411 0.7304 0.3397 1
Ge2 Ge 0.5411 0.3397 0.7304 1
Ag1 Ag 0.0010 0.0080 0.0080 1
La1 La 0.5405 0.3266 0.0898 1
La2 La 0.5405 0.0898 0.3266 1
La3 La 0.1938 0.4056 0.4056 1
La4 La 0.9759 0.1734 0.6998 1
La5 La 0.9759 0.6998 0.1734 1
La6 La 0.8123 0.6152 0.6152 1
La7 La 0.4387 0.9372 0.7081 1
La8 La 0.4387 0.7081 0.9372 1

No. 2
# LaTb2Tm6 (PBE-GGA, relaxed)
# - SG: P4_2/mnm, No. 136
# - Energy relative to the lowest polymorph listed for this composition: 0.000 eV/atom
# - Final energy: -4.527 eV/atom
# - Calculated formation energy: 0.03 eV per atom
data_LaTb2Tm6
_cell_length_a 5.0147
_cell_length_b 10.5933
_cell_length_c 10.5938
_cell_angle_alpha 90.00
_cell_angle_beta 90.00
_cell_angle_gamma 90.00
_space_group_name_H-M_alt 'P 1'
_space_group_IT_number 1
loop_
_space_group_symop_operation_xyz
'x,y,z'
loop_
_atom_site_label
_atom_site_type_symbol
_atom_site_fract_x
_atom_site_fract_y
_atom_site_fract_z
_atom_site_occupancy
La1 La 0.5000 0.5000 0.0000 1
La2 La 0.0000 0.0000 0.5000 1
Tb1 Tb 0.0000 0.3308 0.8307 1
Tb2 Tb 0.5000 0.8308 0.6693 1
Tb3 Tb 0.5000 0.1692 0.3307 1
Tb4 Tb 0.0000 0.6692 0.1693 1
Tm1 Tm 0.9999 0.0009 0.1641 1
Tm2 Tm 0.0000 0.6642 0.5010 1
Tm3 Tm 0.9999 0.6689 0.8311 1
Tm4 Tm 0.5001 0.1689 0.6689 1
Tm5 Tm 0.5000 0.1642 0.9990 1
Tm6 Tm 0.5001 0.5009 0.3359 1
Tm7 Tm 0.0001 0.9991 0.8359 1
Tm8 Tm 0.0000 0.3358 0.4990 1
Tm9 Tm 0.0001 0.3311 0.1689 1
Tm10 Tm 0.4999 0.8311 0.3311 1
Tm11 Tm 0.5000 0.8358 0.0010 1
Tm12 Tm 0.4999 0.4991 0.6641 1

In the order shown, the computed DOS(E_F) values come out to 1.138 1.317 states/eV/atom.
In the order shown, the computed magnetization values come out to 0.00 0.00 μB/f.u..